# TaRe2Ir, optimized geometry, DFT PBE
# Excess energy over the best structure of this formula in the dataset (meV/atom): 168
# DOS at the Fermi energy (states/eV/f.u.): 3.12
# Total moment (μB per formula unit): 0.00
data_TaRe2Ir
_cell_length_a 2.7519
_cell_length_b 2.7519
_cell_length_c 8.2755
_cell_angle_alpha 90.00
_cell_angle_beta 90.00
_cell_angle_gamma 90.00
_symmetry_space_group_name_H-M 'P 4/m m m'
_symmetry_Int_Tables_number 123
_symmetry_space_group_name_Hall '-P 4 2'
loop_
_atom_site_label
_atom_site_type_symbol
_atom_site_fract_x
_atom_site_fract_y
_atom_site_fract_z
Ta1 Ta 0.0000 0.0000 0.0000
Re1 Re 0.5000 0.5000 0.2661
Ir1 Ir 0.0000 0.0000 0.5000